(one)
DFT (GGA-PBE) results for a geometry-optimized Re8W5 structure.

Computed properties:
crystal system = trigonal

a b c (Å): 9.599 9.599 9.599
angles (deg): 30.82 30.82 30.82
Element x y z (fractional)
Re (0.084, 0.591, 0.591)
Re (0.152, 0.152, 0.152)
Re (0.409, 0.409, 0.916)
Re (0.409, 0.916, 0.409)
Re (0.591, 0.084, 0.591)
Re (0.591, 0.591, 0.084)
Re (0.848, 0.848, 0.848)
Re (0.916, 0.409, 0.409)
W (0.047, 0.047, 0.047)
W (0.333, 0.333, 0.333)
W (0.500, 0.500, 0.500)
W (0.667, 0.667, 0.667)
W (0.953, 0.953, 0.953)

(two)
DFT (GGA-PBE) results for a geometry-optimized Re8W5 structure.

Computed properties:
crystal system = trigonal

a b c (Å): 9.579 9.579 9.579
angles (deg): 30.90 30.90 30.90
Element x y z (fractional)
Re (0.046, 0.046, 0.046)
Re (0.083, 0.589, 0.589)
Re (0.411, 0.411, 0.917)
Re (0.411, 0.917, 0.411)
Re (0.589, 0.083, 0.589)
Re (0.589, 0.589, 0.083)
Re (0.917, 0.411, 0.411)
Re (0.954, 0.954, 0.954)
W (0.153, 0.153, 0.153)
W (0.333, 0.333, 0.333)
W (0.500, 0.500, 0.500)
W (0.667, 0.667, 0.667)
W (0.847, 0.847, 0.847)

The most stable arrangement is (two), and the next structure is 6.4 kJ/mol of atoms less stable.

(one)
DFT (GGA-PBE) results for a geometry-optimized Re2W11 structure.

Computed properties:
crystal system = trigonal

a b c (Å): 9.761 9.761 9.761
angles (deg): 30.67 30.67 30.67
Element x y z (fractional)
Re (0.044, 0.044, 0.044)
Re (0.956, 0.956, 0.956)
W (0.086, 0.588, 0.588)
W (0.154, 0.154, 0.154)
W (0.333, 0.333, 0.333)
W (0.412, 0.412, 0.914)
W (0.412, 0.914, 0.412)
W (0.500, 0.500, 0.500)
W (0.588, 0.086, 0.588)
W (0.588, 0.588, 0.086)
W (0.667, 0.667, 0.667)
W (0.846, 0.846, 0.846)
W (0.914, 0.412, 0.412)

(two)
DFT (GGA-PBE) results for a geometry-optimized Re2W11 structure.

Computed properties:
crystal system = trigonal

a b c (Å): 9.683 9.683 9.683
angles (deg): 31.09 31.09 31.09
Element x y z (fractional)
Re (0.167, 0.167, 0.167)
Re (0.833, 0.833, 0.833)
W (0.000, 0.000, 0.000)
W (0.088, 0.088, 0.585)
W (0.088, 0.585, 0.088)
W (0.348, 0.348, 0.348)
W (0.415, 0.912, 0.912)
W (0.453, 0.453, 0.453)
W (0.547, 0.547, 0.547)
W (0.585, 0.088, 0.088)
W (0.652, 0.652, 0.652)
W (0.912, 0.415, 0.912)
W (0.912, 0.912, 0.415)

(three)
DFT (GGA-PBE) results for a geometry-optimized Re2W11 structure.

Computed properties:
crystal system = trigonal

a b c (Å): 9.779 9.779 9.779
angles (deg): 30.60 30.60 30.60
Element x y z (fractional)
Re (0.153, 0.153, 0.153)
Re (0.847, 0.847, 0.847)
W (0.045, 0.045, 0.045)
W (0.087, 0.590, 0.590)
W (0.332, 0.332, 0.332)
W (0.410, 0.410, 0.913)
W (0.410, 0.913, 0.410)
W (0.500, 0.500, 0.500)
W (0.590, 0.087, 0.590)
W (0.590, 0.590, 0.087)
W (0.668, 0.668, 0.668)
W (0.913, 0.410, 0.410)
W (0.955, 0.955, 0.955)

The most stable arrangement is (one), and the next structure is 7.3 kJ/mol of atoms less stable.

(one)
DFT (GGA-PBE) results for a geometry-optimized Re16W13 structure.

Computed properties:
crystal system = cubic

a b c (Å): 8.409 8.409 8.409
angles (deg): 109.47 109.47 109.47
Element x y z (fractional)
Re (0.000, 0.000, 0.632)
Re (0.000, 0.413, 0.690)
Re (0.000, 0.632, 0.000)
Re (0.000, 0.690, 0.413)
Re (0.277, 0.587, 0.587)
Re (0.310, 0.310, 0.723)
Re (0.310, 0.723, 0.310)
Re (0.368, 0.368, 0.368)
Re (0.413, 0.000, 0.690)
Re (0.413, 0.690, 0.000)
Re (0.587, 0.277, 0.587)
Re (0.587, 0.587, 0.277)
Re (0.632, 0.000, 0.000)
Re (0.690, 0.000, 0.413)
Re (0.690, 0.413, 0.000)
Re (0.723, 0.310, 0.310)
W (0.000, 0.000, 0.000)
W (0.000, 0.193, 0.379)
W (0.000, 0.379, 0.193)
W (0.186, 0.807, 0.807)
W (0.193, 0.000, 0.379)
W (0.193, 0.379, 0.000)
W (0.379, 0.000, 0.193)
W (0.379, 0.193, 0.000)
W (0.621, 0.621, 0.814)
W (0.621, 0.814, 0.621)
W (0.807, 0.186, 0.807)
W (0.807, 0.807, 0.186)
W (0.814, 0.621, 0.621)

(two)
DFT (GGA-PBE) results for a geometry-optimized Re16W13 structure.

Computed properties:
crystal system = cubic

a b c (Å): 8.404 8.404 8.404
angles (deg): 109.47 109.47 109.47
Element x y z (fractional)
Re (0.000, 0.000, 0.646)
Re (0.000, 0.192, 0.374)
Re (0.000, 0.374, 0.192)
Re (0.000, 0.646, 0.000)
Re (0.182, 0.808, 0.808)
Re (0.192, 0.000, 0.374)
Re (0.192, 0.374, 0.000)
Re (0.354, 0.354, 0.354)
Re (0.374, 0.000, 0.192)
Re (0.374, 0.192, 0.000)
Re (0.626, 0.626, 0.818)
Re (0.626, 0.818, 0.626)
Re (0.646, 0.000, 0.000)
Re (0.808, 0.182, 0.808)
Re (0.808, 0.808, 0.182)
Re (0.818, 0.626, 0.626)
W (0.000, 0.000, 0.000)
W (0.000, 0.403, 0.686)
W (0.000, 0.686, 0.403)
W (0.283, 0.597, 0.597)
W (0.314, 0.314, 0.717)
W (0.314, 0.717, 0.314)
W (0.403, 0.000, 0.686)
W (0.403, 0.686, 0.000)
W (0.597, 0.283, 0.597)
W (0.597, 0.597, 0.283)
W (0.686, 0.000, 0.403)
W (0.686, 0.403, 0.000)
W (0.717, 0.314, 0.314)

The most stable arrangement is (two), and the next structure is 11.7 kJ/mol of atoms less stable.

(one)
DFT (GGA-PBE) results for a geometry-optimized Re9W4 structure.

Computed properties:
crystal system = trigonal

a b c (Å): 9.593 9.593 9.593
angles (deg): 30.69 30.69 30.69
Element x y z (fractional)
Re (0.000, 0.000, 0.000)
Re (0.091, 0.091, 0.583)
Re (0.091, 0.583, 0.091)
Re (0.165, 0.165, 0.165)
Re (0.417, 0.909, 0.909)
Re (0.583, 0.091, 0.091)
Re (0.835, 0.835, 0.835)
Re (0.909, 0.417, 0.909)
Re (0.909, 0.909, 0.417)
W (0.350, 0.350, 0.350)
W (0.454, 0.454, 0.454)
W (0.546, 0.546, 0.546)
W (0.650, 0.650, 0.650)

(two)
DFT (GGA-PBE) results for a geometry-optimized Re9W4 structure.

Computed properties:
crystal system = trigonal

a b c (Å): 9.544 9.544 9.544
angles (deg): 30.93 30.93 30.93
Element x y z (fractional)
Re (0.000, 0.000, 0.000)
Re (0.090, 0.090, 0.584)
Re (0.090, 0.584, 0.090)
Re (0.416, 0.910, 0.910)
Re (0.454, 0.454, 0.454)
Re (0.546, 0.546, 0.546)
Re (0.584, 0.090, 0.090)
Re (0.910, 0.416, 0.910)
Re (0.910, 0.910, 0.416)
W (0.166, 0.166, 0.166)
W (0.348, 0.348, 0.348)
W (0.652, 0.652, 0.652)
W (0.834, 0.834, 0.834)

The most stable arrangement is (two), and the next structure is 6.0 kJ/mol of atoms less stable.

(one)
DFT (GGA-PBE) results for a geometry-optimized Re4W9 structure.

Computed properties:
crystal system = trigonal

a b c (Å): 9.726 9.726 9.726
angles (deg): 30.65 30.65 30.65
Element x y z (fractional)
Re (0.044, 0.044, 0.044)
Re (0.155, 0.155, 0.155)
Re (0.845, 0.845, 0.845)
Re (0.956, 0.956, 0.956)
W (0.086, 0.589, 0.589)
W (0.332, 0.332, 0.332)
W (0.411, 0.411, 0.914)
W (0.411, 0.914, 0.411)
W (0.500, 0.500, 0.500)
W (0.589, 0.086, 0.589)
W (0.589, 0.589, 0.086)
W (0.668, 0.668, 0.668)
W (0.914, 0.411, 0.411)

(two)
DFT (GGA-PBE) results for a geometry-optimized Re4W9 structure.

Computed properties:
crystal system = trigonal

a b c (Å): 9.688 9.688 9.688
angles (deg): 30.83 30.83 30.83
Element x y z (fractional)
Re (0.045, 0.045, 0.045)
Re (0.333, 0.333, 0.333)
Re (0.667, 0.667, 0.667)
Re (0.955, 0.955, 0.955)
W (0.085, 0.587, 0.587)
W (0.154, 0.154, 0.154)
W (0.413, 0.413, 0.915)
W (0.413, 0.915, 0.413)
W (0.500, 0.500, 0.500)
W (0.587, 0.085, 0.587)
W (0.587, 0.587, 0.085)
W (0.846, 0.846, 0.846)
W (0.915, 0.413, 0.413)

(three)
DFT (GGA-PBE) results for a geometry-optimized Re4W9 structure.

Computed properties:
crystal system = trigonal

a b c (Å): 9.671 9.671 9.671
angles (deg): 30.93 30.93 30.93
Element x y z (fractional)
Re (0.152, 0.152, 0.152)
Re (0.332, 0.332, 0.332)
Re (0.668, 0.668, 0.668)
Re (0.848, 0.848, 0.848)
W (0.046, 0.046, 0.046)
W (0.085, 0.589, 0.589)
W (0.411, 0.411, 0.915)
W (0.411, 0.915, 0.411)
W (0.500, 0.500, 0.500)
W (0.589, 0.085, 0.589)
W (0.589, 0.589, 0.085)
W (0.915, 0.411, 0.411)
W (0.954, 0.954, 0.954)

The most stable arrangement is (two), and the next structure is 2.0 kJ/mol of atoms less stable.

(one)
DFT (GGA-PBE) results for a geometry-optimized ZnRe structure.

Computed properties:
crystal system = orthorhombic

a b c (Å): 4.381 2.744 4.816
angles (deg): 90.00 90.00 90.00
Element x y z (fractional)
Zn (0.250, 0.000, 0.139)
Zn (0.750, 0.000, 0.861)
Re (0.250, 0.500, 0.632)
Re (0.750, 0.500, 0.368)

(two)
DFT (GGA-PBE) results for a geometry-optimized ZnRe structure.

Computed properties:
crystal system = hexagonal

a b c (Å): 5.411 5.411 4.522
angles (deg): 90.00 90.00 120.00
Element x y z (fractional)
Zn (0.000, 0.000, 0.000)
Zn (0.166, 0.331, 0.500)
Zn (0.166, 0.834, 0.500)
Zn (0.669, 0.834, 0.500)
Re (0.012, 0.506, 0.000)
Re (0.494, 0.506, 0.000)
Re (0.494, 0.988, 0.000)
Re (0.667, 0.333, 0.500)

(three)
DFT (GGA-PBE) results for a geometry-optimized ZnRe structure.

Computed properties:
crystal system = monoclinic

a b c (Å): 5.271 4.418 7.493
angles (deg): 90.00 99.01 90.00
Element x y z (fractional)
Zn (0.025, 0.250, 0.109)
Zn (0.135, 0.750, 0.554)
Zn (0.366, 0.250, 0.446)
Zn (0.634, 0.750, 0.554)
Zn (0.865, 0.250, 0.446)
Zn (0.975, 0.750, 0.891)
Re (0.194, 0.250, 0.775)
Re (0.291, 0.750, 0.223)
Re (0.476, 0.750, 0.891)
Re (0.524, 0.250, 0.109)
Re (0.709, 0.250, 0.777)
Re (0.806, 0.750, 0.225)

(four)
DFT (GGA-PBE) results for a geometry-optimized ZnRe structure.

Computed properties:
crystal system = hexagonal

a b c (Å): 4.108 4.108 4.842
angles (deg): 90.00 90.00 120.00
Element x y z (fractional)
Zn (0.333, 0.667, 0.250)
Zn (0.667, 0.333, 0.750)
Re (0.000, 0.000, 0.000)
Re (0.000, 0.000, 0.500)

The most stable arrangement is (two), and the next structure is 5.9 kJ/mol of atoms less stable.

(one)
DFT (GGA-PBE) results for a geometry-optimized ZnRe structure.

Computed properties:
crystal system = monoclinic

a b c (Å): 5.360 4.495 7.310
angles (deg): 90.00 100.38 90.00
Element x y z (fractional)
Zn (0.058, 0.250, 0.234)
Zn (0.121, 0.750, 0.453)
Zn (0.398, 0.250, 0.562)
Zn (0.602, 0.750, 0.438)
Zn (0.879, 0.250, 0.547)
Zn (0.942, 0.750, 0.766)
Re (0.213, 0.250, 0.887)
Re (0.263, 0.750, 0.106)
Re (0.451, 0.750, 0.793)
Re (0.549, 0.250, 0.207)
Re (0.737, 0.250, 0.894)
Re (0.787, 0.750, 0.113)

(two)
DFT (GGA-PBE) results for a geometry-optimized ZnRe structure.

Computed properties:
crystal system = orthorhombic

a b c (Å): 4.608 4.424 5.586
angles (deg): 90.00 90.00 90.00
Element x y z (fractional)
Zn (0.075, 0.250, 0.126)
Zn (0.425, 0.750, 0.626)
Zn (0.575, 0.250, 0.374)
Zn (0.925, 0.750, 0.874)
Re (0.049, 0.250, 0.622)
Re (0.451, 0.750, 0.122)
Re (0.549, 0.250, 0.878)
Re (0.951, 0.750, 0.378)

The most stable arrangement is (one), and the next structure is 1.0 kJ/mol of atoms less stable.